Er3MnFe8 | Alexandria | GGA-PBE | optimized geometry; magnetic moment = 0.88 μB per atom; energy relative to the elements = -0.04 eV/atom; calculated total energy = -91.01 eV/f.u.
1.0
2.5107 1.4496 8.1781
-2.5107 1.4496 8.1781
0.0000 -2.8991 8.1781
Er Mn Fe
3 1 8
Direct
0.0000 0.0000 0.0000
0.1274 0.1274 0.1274
0.6207 0.6207 0.6207
0.4978 0.4978 0.4978
0.0596 0.0596 0.5600
0.0596 0.5600 0.0596
0.0649 0.5638 0.5638
0.3125 0.3125 0.3125
0.5600 0.0596 0.0596
0.5638 0.0649 0.5638
0.5638 0.5638 0.0649
0.8116 0.8116 0.8116



RbZnCoCl6 | Alexandria | GGA-PBE | optimized geometry; magnetic moment = 0.02 μB per atom; formation energy without anion corrections = -9.43 eV per formula unit; calculated total energy = -29.86 eV/f.u.
1.0
6.2281 0.0000 0.0000
-3.1141 5.3937 0.0000
0.0000 0.0000 7.4201
Rb Zn Co Cl
1 1 1 6
Direct
0.0000 0.0000 0.0000
0.6667 0.3333 0.5000
0.3333 0.6667 0.5000
0.0254 0.3824 0.6775
0.0254 0.6430 0.3225
0.3570 0.3824 0.3225
0.3570 0.9746 0.6775
0.6176 0.6430 0.6775
0.6176 0.9746 0.3225



Sr2TlPd5Au2 | Alexandria | GGA-PBE | optimized geometry; magnetic moment = 0.00 μB per atom; energy relative to the elements = -0.47 eV/atom; calculated total energy = -42.95 eV/f.u.
1.0
10.0411 0.0000 0.0000
0.0000 10.0411 0.0000
0.0000 0.0000 4.1344
Sr Tl Pd Au
4 2 10 4
Direct
0.1729 0.3271 0.0000
0.3271 0.8271 0.0000
0.6729 0.1729 0.0000
0.8271 0.6729 0.0000
0.0000 0.0000 0.0000
0.5000 0.5000 0.0000
0.0000 0.5000 0.5000
0.0620 0.8001 0.5000
0.1999 0.0620 0.5000
0.3001 0.5620 0.5000
0.4380 0.3001 0.5000
0.5000 0.0000 0.5000
0.5620 0.6999 0.5000
0.6999 0.4380 0.5000
0.8001 0.9380 0.5000
0.9380 0.1999 0.5000
0.1248 0.6248 0.0000
0.3752 0.1248 0.0000
0.6248 0.8752 0.0000
0.8752 0.3752 0.0000



Rb2Tl3SnCl6 | Alexandria | GGA-PBE | optimized geometry; magnetic moment = 0.00 μB per atom; formation energy without anion corrections = -13.85 eV per formula unit; calculated total energy = -37.97 eV/f.u.
1.0
3.8485 -6.7325 0.0000
3.8485 6.7325 0.0000
-2.6713 0.0000 8.0162
Rb Tl Sn Cl
2 3 1 6
Direct
0.1643 0.8357 0.0000
0.8357 0.1643 0.0000
0.0000 0.0000 0.5000
0.3272 0.6728 0.5000
0.6728 0.3272 0.5000
0.5000 0.5000 0.0000
0.1268 0.4256 0.7780
0.2831 0.2831 0.2353
0.4256 0.1268 0.7780
0.5744 0.8732 0.2220
0.7169 0.7169 0.7647
0.8732 0.5744 0.2220